A PBEsol-optimized structure of K3YCl6. Source: Alexandria via LeMat-Bulk, functional meta-GGA SCAN.

```
data_K3YCl6
_chemical_formula_sum 'K12 Y4 Cl24'
_cell_length_a 12.947
_cell_length_b 7.699
_cell_length_c 12.399
_cell_angle_alpha 90.00
_cell_angle_beta 109.72
_cell_angle_gamma 90.00
_symmetry_space_group_name_H-M 'P 1 21/c 1'
_symmetry_Int_Tables_number 14
_symmetry_space_group_name_Hall '-P 2ybc'
loop_
_atom_site_label
_atom_site_fract_x
_atom_site_fract_y
_atom_site_fract_z
K1 0.112 0.044 0.375
K2 0.315 0.055 0.769
K3 0.323 0.581 0.611
Y1 0.000 0.000 0.000
Y2 0.500 0.000 0.500
Cl1 0.101 0.033 0.852
Cl2 0.107 0.706 0.075
Cl3 0.155 0.170 0.151
Cl4 0.334 0.702 0.892
Cl5 0.354 0.233 0.500
Cl6 0.499 0.631 0.196
```

A PBEsol-optimized structure of KY2Cl7. Source: Alexandria via LeMat-Bulk, functional meta-GGA SCAN.

```
data_KY2Cl7
_chemical_formula_sum 'K4 Y8 Cl28'
_cell_length_a 6.840
_cell_length_b 12.380
_cell_length_c 12.942
_cell_angle_alpha 90.00
_cell_angle_beta 91.76
_cell_angle_gamma 90.00
_symmetry_space_group_name_H-M 'P 1 21/c 1'
_symmetry_Int_Tables_number 14
_symmetry_space_group_name_Hall '-P 2ybc'
loop_
_atom_site_label
_atom_site_fract_x
_atom_site_fract_y
_atom_site_fract_z
K1 0.195 0.213 0.471
Y1 0.217 0.536 0.260
Y2 0.283 0.661 0.755
Cl1 0.005 0.205 0.185
Cl2 0.033 0.568 0.620
Cl3 0.071 0.527 0.872
Cl4 0.255 0.685 0.107
Cl5 0.446 0.061 0.624
Cl6 0.448 0.096 0.875
Cl7 0.482 0.673 0.337
```

A PBEsol-optimized structure of K2YCl2. Source: Alexandria via LeMat-Bulk, functional meta-GGA SCAN.

```
data_K2YCl2
_chemical_formula_sum 'K4 Y2 Cl4'
_cell_length_a 4.886
_cell_length_b 4.886
_cell_length_c 13.933
_cell_angle_alpha 90.00
_cell_angle_beta 90.00
_cell_angle_gamma 90.00
_symmetry_space_group_name_H-M 'I 4/m m m'
_symmetry_Int_Tables_number 139
_symmetry_space_group_name_Hall '-I 4 2'
loop_
_atom_site_label
_atom_site_fract_x
_atom_site_fract_y
_atom_site_fract_z
K1 0.000 0.500 0.250
Y1 0.000 0.000 0.000
Cl1 0.000 0.000 0.377
```

Listing E_form (uncorrected) for the structures above in their given order: -2386 -2519 -820 meV per atom.